No. 1
A relaxed structure of PaCoB4, computed with PBE-GGA.

VASP energy in eV per atom: -7.806
Energy relative to the lowest polymorph listed for this composition in meV/atom: 0
Formation enthalpy at 0 K in eV/f.u.: -3.52

abc: 3.4545 5.9196 5.9196
angles: 104.05 90.00 90.00
Sites, in units of the cell vectors:
Pa (0.0000, 0.3006, 0.6994)
Pa (0.0000, 0.6994, 0.3006)
Co (0.0000, 0.8243, 0.8243)
Co (0.0000, 0.1757, 0.1757)
B (0.5000, 0.9312, 0.6201)
B (0.5000, 0.0688, 0.3799)
B (0.5000, 0.6201, 0.9312)
B (0.5000, 0.3799, 0.0688)
B (0.5000, 0.3751, 0.3751)
B (0.5000, 0.6249, 0.6249)
B (0.5000, 0.0905, 0.9095)
B (0.5000, 0.9095, 0.0905)



No. 2
A relaxed structure of KLiIr4, computed with PBE-GGA.

VASP energy in eV per atom: -5.980
Formation enthalpy at 0 K in eV/f.u.: 2.58

abc: 5.3310 5.3310 5.3310
angles: 60.00 60.00 60.00
Sites, in units of the cell vectors:
K (0.7500, 0.7500, 0.7500)
Li (0.0000, 0.0000, 0.0000)
Ir (0.8763, 0.3746, 0.3746)
Ir (0.3746, 0.3746, 0.8763)
Ir (0.3746, 0.8763, 0.3746)
Ir (0.3746, 0.3746, 0.3746)



No. 3
A relaxed structure of MnZn2InPd, computed with PBE-GGA.

VASP energy in eV per atom: -2.939
Formation enthalpy at 0 K in eV/f.u.: 4.95

abc: 5.1407 5.1407 5.3467
angles: 90.00 90.00 90.00
Sites, in units of the cell vectors:
Zn (0.0000, 0.5000, 0.0000)
Zn (0.5000, 0.0000, 0.0000)
Mn (0.0000, 0.0000, 0.5000)
Pd (0.5000, 0.5000, 0.5000)
In (0.0000, 0.0000, 0.0000)



No. 4
A relaxed structure of PrSm2Tm2, computed with PBE-GGA.

VASP energy in eV per atom: -4.553
Energy relative to the lowest polymorph listed for this composition in meV/atom: 0
Formation enthalpy at 0 K in eV/f.u.: 0.40

abc: 3.7862 9.3767 9.3767
angles: 90.00 90.00 90.00
Sites, in units of the cell vectors:
Pr (0.0000, 0.0000, 0.0000)
Pr (0.0000, 0.5000, 0.5000)
Sm (0.0000, 0.8725, 0.3725)
Sm (0.0000, 0.3725, 0.1275)
Sm (0.0000, 0.1275, 0.6275)
Sm (0.0000, 0.6275, 0.8725)
Tm (0.5000, 0.3304, 0.8304)
Tm (0.5000, 0.8304, 0.6696)
Tm (0.5000, 0.6696, 0.1696)
Tm (0.5000, 0.1696, 0.3304)



No. 5
A relaxed structure of NpZn2Sn, computed with PBE-GGA.

VASP energy in eV per atom: -4.827
Energy relative to the lowest polymorph listed for this composition in meV/atom: 0
Formation enthalpy at 0 K in eV/f.u.: 0.19

abc: 4.3751 4.4113 4.4113
angles: 90.00 90.00 90.00
Sites, in units of the cell vectors:
Np (0.5000, 0.0000, 0.0000)
Zn (0.0000, 0.0000, 0.5000)
Zn (0.0000, 0.5000, 0.0000)
Sn (0.5000, 0.5000, 0.5000)



No. 6
A relaxed structure of LiPmHo2Au4, computed with PBE-GGA.

VASP energy in eV per atom: -4.373
Formation enthalpy at 0 K in eV/f.u.: -6.06

abc: 4.9854 4.9854 8.7860
angles: 73.52 73.52 60.00
Sites, in units of the cell vectors:
Li (0.5000, 0.5000, 0.5000)
Pm (0.0000, 0.0000, 0.0000)
Ho (0.7594, 0.7594, 0.7218)
Ho (0.2406, 0.2406, 0.2782)
Au (0.3856, 0.3856, 0.8431)
Au (0.8782, 0.8782, 0.3655)
Au (0.1218, 0.1218, 0.6345)
Au (0.6144, 0.6144, 0.1569)



No. 7
A relaxed structure of NbFe6, computed with PBE-GGA.

VASP energy in eV per atom: -7.610
Energy relative to the lowest polymorph listed for this composition in meV/atom: 0
Formation enthalpy at 0 K in eV/f.u.: 7.58

abc: 5.0912 5.0912 5.0912
angles: 109.47 109.47 109.47
Sites, in units of the cell vectors:
Nb (0.0000, 0.0000, 0.0000)
Fe (0.2500, 0.7500, 0.5000)
Fe (0.5000, 0.7500, 0.2500)
Fe (0.2500, 0.5000, 0.7500)
Fe (0.7500, 0.2500, 0.5000)
Fe (0.5000, 0.2500, 0.7500)
Fe (0.7500, 0.5000, 0.2500)



No. 8
A relaxed structure of TeWSN2, computed with PBE-GGA.

VASP energy in eV per atom: -5.368
Energy relative to the lowest polymorph listed for this composition in meV/atom: 1507
Raw formation energy in eV/atom: 2.007

abc: 3.9792 3.9792 5.1030
angles: 90.00 90.00 90.00
Sites, in units of the cell vectors:
S (0.0000, 0.0000, 0.5000)
Te (0.0000, 0.0000, 0.0000)
W (0.5000, 0.5000, 0.5000)
N (0.0000, 0.5000, 0.0000)
N (0.5000, 0.0000, 0.0000)



> What is the VASP energy in the sixth record?

-4.373 eV per atom